Material: YSeCl3
Method: DFT, PBE
State: relaxed

The structure in POSCAR format:
```
YSeCl3
1.0
5.321 0.000 0.000
0.000 5.321 0.000
0.000 0.000 5.321
Y Se Cl
1 1 3
Direct
0.000 0.000 0.000 Y
0.500 0.500 0.500 Se
0.000 0.000 0.500 Cl
0.000 0.500 0.000 Cl
0.500 0.000 0.000 Cl
```

## Properties
- energy relative to the lowest polymorph listed for this composition (meV per atom) = 0
- D(E_F) (states/eV per cell) = 4.5
- uncorrected formation energy (meV/atom) = -1248.3
- SG = No. 221

***

Material: YMo2Rh
Method: DFT, PBE
State: relaxed

The structure in POSCAR format:
```
YMo2Rh
1.0
3.807 0.000 0.000
0.000 3.807 0.000
0.000 0.000 5.011
Y Mo Rh
1 2 1
Direct
0.000 0.000 0.000 Y
0.000 0.500 0.500 Mo
0.500 0.000 0.500 Mo
0.500 0.500 0.000 Rh
```

## Properties
- energy relative to the lowest polymorph listed for this composition (meV per atom) = 141
- D(E_F) (states/eV per cell) = 3.8
- energy of formation from the pure elements (kJ/mol of atoms) = 10.3
- SG = No. 123

***

Material: BaCa2As2
Method: DFT, PBE
State: relaxed

The structure in POSCAR format:
```
BaCa2As2
1.0
-2.800 2.800 5.389
2.800 -2.800 5.389
2.800 2.800 -5.389
Ba Ca As
1 2 2
Direct
0.000 0.000 0.000 Ba
0.320 0.320 0.000 Ca
0.680 0.680 0.000 Ca
0.250 0.750 0.500 As
0.750 0.250 0.500 As
```

## Properties
- energy relative to the lowest polymorph listed for this composition (meV per atom) = 387
- D(E_F) (states/eV per cell) = 2.7
- energy of formation from the pure elements (kJ/mol of atoms) = -76.8
- SG = No. 139

***

| no. | calculated total energy (eV/atom) |
| --- | --- |
| 1 | -4.35 |
| 2 | -8.76 |
| 3 | -3.84 |